# GGA+U Mn2Ag3F8, optimized geometry
# Volume = 200.7 Å³/f.u.
# DFT total energy = -0.3487 Ry per atom
# Total moment = 9.00 Bohr magnetons per cell
# Symmetry = C2/m, No. 12
# D(E_F) = 0.278 states/eV/atom
data_Mn2Ag3F8
_cell_length_a 5.361
_cell_length_b 8.059
_cell_length_c 8.059
_cell_angle_alpha 47.77
_cell_angle_beta 54.98
_cell_angle_gamma 54.98
_symmetry_space_group_name_H-M 'P 1'
_symmetry_Int_Tables_number 1
_symmetry_space_group_name_Hall 'P 1'
loop_
_atom_site_label
_atom_site_fract_x
_atom_site_fract_y
_atom_site_fract_z
Mn1 0.941 0.272 0.272
Mn2 0.059 0.728 0.728
Ag1 0.500 0.000 0.000
Ag2 0.000 0.234 0.766
Ag3 0.000 0.766 0.234
F1 0.015 0.605 0.605
F2 0.985 0.395 0.395
F3 0.890 0.149 0.149
F4 0.110 0.851 0.851
F5 0.683 0.611 0.065
F6 0.683 0.065 0.611
F7 0.317 0.935 0.389
F8 0.317 0.389 0.935